! GGA-PBE Ag2Sn3S6, relaxed; values from VASP
! Symmetry: C2/m (12)
! Energy relative to the elements, uncorrected in eV/atom: -0.2839
&SYSTEM
  ibrav = 0, nat = 11, ntyp = 3
/
ATOMIC_SPECIES
Sn 118.71 Sn.upf
S 32.06 S.upf
Ag 107.87 Ag.upf
CELL_PARAMETERS angstrom
-2.0105 -1.9929 6.0078
-6.3498 -1.5327 1.0375
0.5061 -6.7346 0.4609
ATOMIC_POSITIONS crystal
Sn 0.3339 0.3321 0.0000
Sn 0.6661 0.6679 0.0000
Sn 0.0000 0.0000 0.0000
S 0.7543 0.0000 0.7522
S 0.9236 0.6587 0.2408
S 0.0764 0.3413 0.7592
S 0.4178 0.6587 0.7592
S 0.5822 0.3413 0.2408
S 0.2457 0.0000 0.2478
Ag 0.8336 0.3327 0.5000
Ag 0.1664 0.6673 0.5000

! GGA-PBE TaTi4Pd, relaxed; values from VASP
! Symmetry: P2/m (10)
! ΔE_f in eV per atom: -0.0756
&SYSTEM
  ibrav = 0, nat = 6, ntyp = 3
/
ATOMIC_SPECIES
Ta 180.95 Ta.upf
Ti 47.87 Ti.upf
Pd 106.42 Pd.upf
CELL_PARAMETERS angstrom
2.4892 1.1340 0.0021
0.5895 5.3041 0.0024
-0.0072 -0.0036 7.9256
ATOMIC_POSITIONS crystal
Ta 0.9972 0.0013 0.5019
Ti 0.0016 0.5013 0.6706
Ti 0.9929 0.5013 0.3332
Ti 0.4964 0.0012 0.8385
Ti 0.4982 0.0013 0.1652
Pd 0.4973 0.5013 0.0018

! GGA-PBE PuZr2Be2Rh5, relaxed; values from VASP
! Symmetry: P4/mbm (127)
! ΔE_f in eV per atom: -0.6853
&SYSTEM
  ibrav = 0, nat = 20, ntyp = 4
/
ATOMIC_SPECIES
Rh 102.91 Rh.upf
Zr 91.22 Zr.upf
Pu 244.00 Pu.upf
Be 9.01 Be.upf
CELL_PARAMETERS angstrom
3.4639 0.0000 0.0000
0.0000 9.4499 0.0000
0.0000 0.0000 9.4499
ATOMIC_POSITIONS crystal
Rh 0.5000 0.5734 0.7177
Rh 0.5000 0.9266 0.2177
Rh 0.5000 0.5000 0.0000
Rh 0.5000 0.2177 0.0734
Rh 0.5000 0.7177 0.4266
Rh 0.5000 0.7823 0.9266
Rh 0.5000 0.0000 0.5000
Rh 0.5000 0.2823 0.5734
Rh 0.5000 0.4266 0.2823
Rh 0.5000 0.0734 0.7823
Zr 0.0000 0.1722 0.3278
Zr 0.0000 0.8278 0.6722
Zr 0.0000 0.6722 0.1722
Zr 0.0000 0.3278 0.8278
Pu 0.0000 0.0000 0.0000
Pu 0.0000 0.5000 0.5000
Be 0.0000 0.8796 0.3796
Be 0.0000 0.6204 0.8796
Be 0.0000 0.1204 0.6204
Be 0.0000 0.3796 0.1204

! GGA-PBE Sr3Tl8Pb3, relaxed; values from VASP
! Symmetry: Immm (71)
! ΔE_f in eV per atom: -0.2089
&SYSTEM
  ibrav = 0, nat = 14, ntyp = 3
/
ATOMIC_SPECIES
Tl 204.38 Tl.upf
Sr 87.62 Sr.upf
Pb 207.20 Pb.upf
CELL_PARAMETERS angstrom
4.7614 0.0000 1.3040
1.9212 9.5979 2.3296
-0.1958 -0.0329 10.0598
ATOMIC_POSITIONS crystal
Tl 0.1450 0.2310 0.4790
Tl 0.1450 0.4790 0.2310
Tl 0.8550 0.7690 0.5210
Tl 0.6543 0.0592 0.6322
Tl 0.3457 0.9408 0.3678
Tl 0.6543 0.6322 0.0592
Tl 0.8550 0.5210 0.7690
Tl 0.3457 0.3678 0.9408
Sr 0.8028 0.1972 0.1972
Sr 0.1972 0.8028 0.8028
Sr 0.5000 0.5000 0.5000
Pb 0.0000 0.8153 0.1847
Pb 0.0000 0.1847 0.8153
Pb 0.5000 0.0000 0.0000

! GGA-PBE BePb2, relaxed; values from VASP
! Symmetry: Fd-3m (227)
! ΔE_f in eV per atom: 1.0600
! Polymorph energy (0 for the lowest one) in kJ per mole of atoms: 74.4
&SYSTEM
  ibrav = 0, nat = 6, ntyp = 2
/
ATOMIC_SPECIES
Pb 207.20 Pb.upf
Be 9.01 Be.upf
CELL_PARAMETERS angstrom
0.0000 4.5003 4.5003
4.5003 0.0000 4.5003
4.5003 4.5003 0.0000
ATOMIC_POSITIONS crystal
Pb 0.1250 0.1250 0.6250
Pb 0.1250 0.1250 0.1250
Pb 0.6250 0.1250 0.1250
Pb 0.1250 0.6250 0.1250
Be 0.7500 0.7500 0.7500
Be 0.5000 0.5000 0.5000

! GGA-PBE Rb2RePd, relaxed; values from VASP
! Symmetry: Fm-3m (225)
! ΔE_f in eV per atom: 1.7231
! Polymorph energy (0 for the lowest one) in kJ per mole of atoms: 44.6
&SYSTEM
  ibrav = 0, nat = 4, ntyp = 3
/
ATOMIC_SPECIES
Re 186.21 Re.upf
Rb 85.47 Rb.upf
Pd 106.42 Pd.upf
CELL_PARAMETERS angstrom
-1.3194 -5.5514 1.1245
-5.3410 -1.4082 1.8207
-3.6020 -2.9041 -3.5236
ATOMIC_POSITIONS crystal
Re 0.5000 0.5000 0.5000
Rb 0.7500 0.7500 0.7500
Rb 0.2500 0.2500 0.2500
Pd 0.0000 0.0000 0.0000

! GGA-PBE InPbO2, relaxed; values from VASP
! Symmetry: R-3m (166)
! Energy relative to the elements, uncorrected in eV/atom: -0.7396
! Polymorph energy (0 for the lowest one) in kJ per mole of atoms: 44.0
&SYSTEM
  ibrav = 0, nat = 4, ntyp = 3
/
ATOMIC_SPECIES
O 16.00 O.upf
In 114.82 In.upf
Pb 207.20 Pb.upf
CELL_PARAMETERS angstrom
2.9717 6.5062 -0.1242
4.6175 4.6959 -2.7936
1.3587 6.1737 -3.3490
ATOMIC_POSITIONS crystal
O 0.1001 0.1001 0.1001
O 0.8999 0.8999 0.8999
In 0.0000 0.0000 0.0000
Pb 0.5000 0.5000 0.5000

! GGA-PBE CoNi3Se6, relaxed; values from VASP
! Symmetry: P-1 (2)
! Energy relative to the elements, uncorrected in eV/atom: -0.1191
! Polymorph energy (0 for the lowest one) in kJ per mole of atoms: 13.3
&SYSTEM
  ibrav = 0, nat = 10, ntyp = 3
/
ATOMIC_SPECIES
Ni 58.69 Ni.upf
Se 78.96 Se.upf
Co 58.93 Co.upf
CELL_PARAMETERS angstrom
3.1948 0.4403 -8.0992
-2.6399 -6.4772 -2.0022
-3.1426 2.5563 2.9560
ATOMIC_POSITIONS crystal
Ni 0.0905 0.3523 0.5324
Ni 0.9094 0.6477 0.4676
Ni 0.5000 0.5000 0.5000
Se 0.0916 0.2986 0.0094
Se 0.9084 0.7014 0.9906
Se 0.3691 0.1724 0.8125
Se 0.6647 0.2833 0.8703
Se 0.3353 0.7167 0.1297
Se 0.6309 0.8276 0.1875
Co 0.0000 0.0000 0.0000

Number 1: mass density 5.2 g/cm3. Number 2: mass density 8.0 g/cm3. Number 3: mass density 10.3 g/cm3. Number 4: mass density 9.0 g/cm3. Number 5: mass density 7.7 g/cm3. Number 6: mass density 5.5 g/cm3. Number 7: mass density 7.6 g/cm3. Number 8: mass density 6.5 g/cm3.